No. 1
Here is an optimized crystal structure of Y5Mn from the Alexandria database. Energies are from GGA-PBE.

Computed properties:
ΔE to the lowest computed polymorph, meV per atom: 571
Density of states at the Fermi level, states/eV per cell: 8.096
Calculated density, Mg/m³: 4.1
Calculated volume, Å³/atom: 33.8
Formation energy from the elements, eV/atom: 0.73

Cell lengths 6.356, 6.356, 5.800 Å; angles 90.00, 90.00, 120.00 degrees
Positions (direct):
Y1 0.000 0.500 0.000
Y2 0.333 0.667 0.500
Y3 0.500 0.000 0.000
Y4 0.500 0.500 0.000
Y5 0.667 0.333 0.500
Mn1 0.000 0.000 0.500



No. 2
Here is an optimized crystal structure of Pm5PtSe5 from the Alexandria database. Energies are from GGA-PBE.

Computed properties:
Density of states at the Fermi level, states/eV per cell: 9.441
Calculated density, Mg/m³: 6.9
E, eV/cell: -65.99
Calculated volume, Å³/atom: 29.0

Cell lengths 7.308, 7.308, 8.423 Å; angles 106.59, 106.59, 48.18 degrees
Positions (direct):
Pm1 0.000 0.000 0.000
Pm2 0.338 0.338 0.667
Pm3 0.345 0.345 0.168
Pm4 0.655 0.655 0.832
Pm5 0.662 0.662 0.333
Pt1 0.500 0.500 0.000
Se1 0.172 0.172 0.840
Se2 0.178 0.178 0.331
Se3 0.500 0.500 0.500
Se4 0.822 0.822 0.669
Se5 0.828 0.828 0.160



No. 3
Here is an optimized crystal structure of PIrAu from the Alexandria database. Energies are from GGA-PBE.

Computed properties:
ΔE to the lowest computed polymorph, meV per atom: 7
Density of states at the Fermi level, states/eV per cell: 1.425
Calculated density, Mg/m³: 13.0
Calculated volume, Å³/atom: 17.9
Formation energy from the elements, eV/atom: -0.15

Cell lengths 2.960, 3.498, 5.934 Å; angles 88.67, 75.65, 65.01 degrees
Positions (direct):
P1 0.000 0.000 0.000
Ir1 0.821 0.565 0.793
Au1 0.724 0.127 0.416



No. 4
Here is an optimized crystal structure of CsKBa2Cu from the Alexandria database. Energies are from GGA-PBE.

Computed properties:
ΔE to the lowest computed polymorph, meV per atom: 0
Density of states at the Fermi level, states/eV per cell: 3.881
Calculated density, Mg/m³: 2.7
Calculated volume, Å³/atom: 61.7
Formation energy from the elements, eV/atom: 0.13

Cell lengths 6.474, 6.474, 7.363 Å; angles 90.00, 90.00, 90.00 degrees
Positions (direct):
Cs1 0.000 0.000 0.000
K1 0.500 0.500 0.000
Ba1 0.000 0.500 0.500
Ba2 0.500 0.000 0.500
Cu1 0.000 0.000 0.500



No. 5
Here is an optimized crystal structure of Sc2Te from the Alexandria database. Energies are from GGA-PBE.

Computed properties:
Density of states at the Fermi level, states/eV per cell: 5.919
Calculated density, Mg/m³: 5.3
E, eV/cell: -35.59
Calculated volume, Å³/atom: 22.7

Cell lengths 7.701, 7.701, 4.714 Å; angles 90.00, 90.00, 150.84 degrees
Positions (direct):
Sc1 0.075 0.925 0.750
Sc2 0.260 0.740 0.250
Sc3 0.740 0.260 0.750
Sc4 0.925 0.075 0.250
Te1 0.400 0.600 0.750
Te2 0.600 0.400 0.250



No. 6
Here is an optimized crystal structure of Pm5Hg2Ge2 from the Alexandria database. Energies are from GGA-PBE.

Computed properties:
Density of states at the Fermi level, states/eV per cell: 15.813
Calculated density, Mg/m³: 8.4
Calculated volume, Å³/atom: 27.9
Formation energy from the elements, eV/atom: -0.62

Cell lengths 8.994, 8.994, 7.897 Å; angles 90.00, 90.00, 51.81 degrees
Positions (direct):
Pm1 0.000 0.000 0.000
Pm2 0.053 0.689 0.674
Pm3 0.189 0.553 0.174
Pm4 0.311 0.947 0.674
Pm5 0.447 0.811 0.174
Pm6 0.500 0.500 0.500
Pm7 0.553 0.189 0.826
Pm8 0.689 0.053 0.326
Pm9 0.811 0.447 0.826
Pm10 0.947 0.311 0.326
Hg1 0.215 0.215 0.000
Hg2 0.285 0.285 0.500
Hg3 0.715 0.715 0.500
Hg4 0.785 0.785 0.000
Ge1 0.123 0.877 0.375
Ge2 0.377 0.623 0.875
Ge3 0.623 0.377 0.125
Ge4 0.877 0.123 0.625



No. 7
Here is an optimized crystal structure of PbN2F6 from the Alexandria database. Energies are from GGA-PBE.

Computed properties:
ΔE to the lowest computed polymorph, meV per atom: 535
Calculated density, Mg/m³: 3.2
Calculated volume, Å³/atom: 20.1

Cell lengths 6.291, 6.291, 5.275 Å; angles 90.00, 90.00, 120.00 degrees
Positions (direct):
Pb1 0.000 0.000 0.000
N1 0.333 0.667 0.672
N2 0.667 0.333 0.328
F1 0.185 0.371 0.738
F2 0.185 0.815 0.738
F3 0.371 0.185 0.262
F4 0.629 0.815 0.738
F5 0.815 0.185 0.262
F6 0.815 0.629 0.262



No. 8
Here is an optimized crystal structure of Li4CaHg2 from the Alexandria database. Energies are from GGA-PBE.

Computed properties:
Density of states at the Fermi level, states/eV per cell: 9.100
Calculated density, Mg/m³: 5.2
Calculated volume, Å³/atom: 21.4
Formation energy from the elements, eV/atom: -0.31

Cell lengths 8.075, 8.075, 4.592 Å; angles 90.00, 90.00, 90.00 degrees
Positions (direct):
Li1 0.099 0.353 0.000
Li2 0.147 0.599 0.500
Li3 0.353 0.099 0.000
Li4 0.401 0.853 0.500
Li5 0.599 0.147 0.500
Li6 0.647 0.901 0.000
Li7 0.853 0.401 0.500
Li8 0.901 0.647 0.000
Ca1 0.000 0.000 0.500
Ca2 0.500 0.500 0.000
Hg1 0.215 0.785 0.000
Hg2 0.285 0.285 0.500
Hg3 0.715 0.715 0.500
Hg4 0.785 0.215 0.000